The following is a DFT calculation (SCAN) of FeMo2Rh at its PBEsol-relaxed geometry.

abc: 2.688 2.688 9.027
angles: 81.44 81.44 60.00
Site moments in Bohr magnetons follow the coordinates.
Fractional coordinates of all 4 atoms:
Fe  0.248  0.248  0.257  2.81
Mo  0.995  0.995  0.015  -0.22
Mo  0.754  0.754  0.739  -0.14
Rh  0.504  0.504  0.489  0.19

Values from the calculation:
- size of the total moment (μB per cell) = 2.578
- space group = No. 160
- energy of formation from the pure elements (eV/atom) = 0.18